(1)
## Pm2Si2Sn (PBE)

Data for a geometry-optimized Pm2Si2Sn structure.

Values from the calculation:
energy above the most stable polymorph in this dataset = 20 meV per atom
uncorrected formation energy = -684 meV/atom
density of states at the Fermi level = 0.45 states/eV per atom
VASP energy = -0.20409 hartree per atom
M_tot = 0.0 Bohr magnetons per cell

Cell: 7.393 7.393 4.319 Å, 90.00 90.00 90.00°
Sites, in units of the cell vectors:
1 Pm 0.181 0.319 0.000
2 Pm 0.319 0.819 0.000
3 Pm 0.681 0.181 0.000
4 Pm 0.819 0.681 0.000
5 Si 0.114 0.614 0.500
6 Si 0.386 0.114 0.500
7 Si 0.614 0.886 0.500
8 Si 0.886 0.386 0.500
9 Sn 0.000 0.000 0.500
10 Sn 0.500 0.500 0.500

=====

(2)
## Al2InTeIr (PBE)

Data for a geometry-optimized Al2InTeIr structure.

Values from the calculation:
energy above the most stable polymorph in this dataset = 142 meV per atom
uncorrected formation energy = -24 meV/atom
density of states at the Fermi level = 0.41 states/eV per atom
VASP energy = -0.16425 hartree per atom
M_tot = 0.0 Bohr magnetons per cell

Cell: 4.741 4.741 5.690 Å, 90.00 90.00 90.00°
Sites, in units of the cell vectors:
1 Al 0.000 0.500 0.000
2 Al 0.500 0.000 0.000
3 In 0.000 0.000 0.500
4 Te 0.500 0.500 0.500
5 Ir 0.500 0.500 0.000

=====

(3)
## BeCrBr2 (PBE)

Data for a geometry-optimized BeCrBr2 structure.

Values from the calculation:
energy above the most stable polymorph in this dataset = 632 meV per atom
uncorrected formation energy = 559 meV/atom
density of states at the Fermi level = 0.19 states/eV per atom
VASP energy = -0.13286 hartree per atom
M_tot = 4.1 Bohr magnetons per cell

Cell: 4.845 4.845 4.845 Å, 60.00 60.00 60.00°
Sites, in units of the cell vectors:
1 Be 0.000 0.000 0.000
2 Cr 0.500 0.500 0.500
3 Br 0.250 0.250 0.250
4 Br 0.750 0.750 0.750

=====

(4)
## Pr3CuN (PBE)

Data for a geometry-optimized Pr3CuN structure.

Values from the calculation:
energy above the most stable polymorph in this dataset = 60 meV per atom
uncorrected formation energy = -420 meV/atom
density of states at the Fermi level = 1.19 states/eV per atom
VASP energy = -0.21212 hartree per atom
M_tot = 0.0 Bohr magnetons per cell

Cell: 5.009 5.009 5.009 Å, 90.00 90.00 90.00°
Sites, in units of the cell vectors:
1 Pr 0.000 0.000 0.500
2 Pr 0.000 0.500 0.000
3 Pr 0.500 0.000 0.000
4 Cu 0.500 0.500 0.500
5 N 0.000 0.000 0.000

=====

(5)
## TbPm2NdAs4 (PBE)

Data for a geometry-optimized TbPm2NdAs4 structure.

Values from the calculation:
density of states at the Fermi level = 0.09 states/eV per atom
VASP energy = -0.22822 hartree per atom
M_tot = 0.0 Bohr magnetons per cell
calculated formation energy = -12.18 eV per formula unit

Cell: 7.312 4.225 7.313 Å, 90.00 109.46 90.00°
Sites, in units of the cell vectors:
1 Tb 0.000 0.000 0.000
2 Pm 0.000 0.500 0.500
3 Pm 0.500 0.000 0.500
4 Nd 0.500 0.500 0.000
5 As 0.245 0.500 0.247
6 As 0.247 0.000 0.751
7 As 0.753 0.000 0.249
8 As 0.755 0.500 0.753

=====

(6)
## Ni12Sn3Ge (PBE)

Data for a geometry-optimized Ni12Sn3Ge structure.

Values from the calculation:
density of states at the Fermi level = 0.78 states/eV per atom
VASP energy = -0.20509 hartree per atom
M_tot = 0.0 Bohr magnetons per cell
calculated formation energy = -3.29 eV per formula unit

Cell: 3.694 3.694 14.708 Å, 90.00 90.00 90.00°
Sites, in units of the cell vectors:
1 Ni 0.000 0.000 0.000
2 Ni 0.000 0.000 0.244
3 Ni 0.000 0.000 0.500
4 Ni 0.000 0.000 0.756
5 Ni 0.000 0.500 0.116
6 Ni 0.000 0.500 0.372
7 Ni 0.000 0.500 0.628
8 Ni 0.000 0.500 0.884
9 Ni 0.500 0.000 0.116
10 Ni 0.500 0.000 0.372
11 Ni 0.500 0.000 0.628
12 Ni 0.500 0.000 0.884
13 Sn 0.500 0.500 0.245
14 Sn 0.500 0.500 0.500
15 Sn 0.500 0.500 0.755
16 Ge 0.500 0.500 0.000

=====

Repeat the second record exactly.
## Al2InTeIr (PBE)

Data for a geometry-optimized Al2InTeIr structure.

Values from the calculation:
energy above the most stable polymorph in this dataset = 142 meV per atom
uncorrected formation energy = -24 meV/atom
density of states at the Fermi level = 0.41 states/eV per atom
VASP energy = -0.16425 hartree per atom
M_tot = 0.0 Bohr magnetons per cell

Cell: 4.741 4.741 5.690 Å, 90.00 90.00 90.00°
Sites, in units of the cell vectors:
1 Al 0.000 0.500 0.000
2 Al 0.500 0.000 0.000
3 In 0.000 0.000 0.500
4 Te 0.500 0.500 0.500
5 Ir 0.500 0.500 0.000

=====

Number 3 is which compound?
BeCrBr2